Below is crystalline ScTePd2 at its relaxed geometry, with properties calculated at the PBE level.

```
ScTePd2
1.0
-2.2885 2.9810 1.9332
-3.0352 -2.7790 0.6922
1.7594 -1.0135 3.6457
Sc Te Pd
1 1 2
direct
0.5000 0.0000 0.0000 Sc
0.5000 0.5000 0.5000 Te
0.0000 0.0000 0.5000 Pd
0.0000 0.5000 0.0000 Pd
```

## Properties
As for the space group: P4/mmm, No. 123. Its raw formation energy is -0.72 eV/atom. Its raw total energy is -22.7 eV/cell.

Below is crystalline NbV2W at its relaxed geometry, with properties calculated at the PBE level.

```
NbV2W
1.0
-0.5033 1.0098 -4.2745
-4.0538 0.5140 -1.6875
-1.4138 4.0222 -1.1695
Nb W V
1 1 2
direct
0.5000 0.5000 0.5000 Nb
0.0000 0.0000 0.0000 W
0.2500 0.2500 0.2500 V
0.7500 0.7500 0.7500 V
```

## Properties
As for the space group: Fm-3m, No. 225. The energy above the most stable polymorph in this dataset is 0.0 meV per atom. The calculation puts the formation energy at -18.5 meV per atom. Its raw total energy is -41.3 eV/cell.

Below is crystalline LaZnIn at its relaxed geometry, with properties calculated at the PBE level.

```
LaZnIn
1.0
4.8183 0.0000 0.0000
-2.4092 4.1728 0.0000
0.0000 0.0000 15.5375
Zn In La
4 4 4
direct
0.3333 0.6667 0.1078 Zn
0.3333 0.6667 0.3922 Zn
0.6667 0.3333 0.8922 Zn
0.6667 0.3333 0.6078 Zn
0.3333 0.6667 0.8767 In
0.3333 0.6667 0.6233 In
0.6667 0.3333 0.1233 In
0.6667 0.3333 0.3767 In
0.0000 0.0000 0.2500 La
0.0000 0.0000 0.7500 La
0.0000 0.0000 0.5000 La
0.0000 0.0000 0.0000 La
```

## Properties
As for the space group: P6_3/mmc, No. 194. The calculation puts the formation energy at -456.1 meV per atom. Its raw total energy is -41.2 eV/cell.

Below is crystalline K2MnZnCl6 at its relaxed geometry, with properties calculated at the PBE level.

```
K2MnZnCl6
1.0
-2.3215 -1.6846 -6.4740
4.0002 -3.9878 -4.2688
-1.8892 -6.5958 -1.4800
K Mn Zn Cl
2 1 1 6
direct
0.5658 0.5657 0.3023 K
0.0664 0.0665 0.8006 K
0.8162 0.8162 0.5518 Mn
0.3160 0.3162 0.0519 Zn
0.5641 0.1181 0.3000 Cl
0.1185 0.0175 0.2995 Cl
0.0174 0.5637 0.3003 Cl
0.5139 0.6148 0.8033 Cl
0.6147 0.0688 0.8025 Cl
0.0685 0.5141 0.8029 Cl
```

## Properties
As for the space group: P-1, No. 2. Its raw formation energy is -1.42 eV/atom. Its raw total energy is -38.0 eV/cell.

Below is crystalline YTlInPd at its relaxed geometry, with properties calculated at the PBE level.

```
YTlInPd
1.0
-3.2411 0.8247 -3.7836
-4.9658 -0.4853 0.7781
-2.9586 4.0918 0.0565
Y Tl Pd In
1 1 1 1
direct
0.0000 0.0000 0.0000 Y
0.2500 0.2500 0.2500 Tl
0.7500 0.7500 0.7500 Pd
0.5000 0.5000 0.5000 In
```

## Properties
As for the space group: F-43m, No. 216. The calculation puts the formation energy at -428.3 meV per atom. Its raw total energy is -18.5 eV/cell.

Below is crystalline Ac3Ga5Se12 at its relaxed geometry, with properties calculated at the PBE level.

```
Ac3Ga5Se12
1.0
-7.9764 11.7312 -0.8237
-1.4410 -5.8125 12.8865
13.6302 3.3774 -2.1755
Ac Ga Se
12 20 48
direct
0.7500 0.3750 0.1250 Ac
0.8750 0.7500 0.1250 Ac
0.3750 0.7500 0.6250 Ac
0.2500 0.1250 0.3750 Ac
0.8750 0.1250 0.2500 Ac
0.3750 0.6250 0.2500 Ac
0.6250 0.3750 0.7500 Ac
0.1250 0.8750 0.7500 Ac
0.7500 0.8750 0.6250 Ac
0.6250 0.2500 0.3750 Ac
0.1250 0.2500 0.8750 Ac
0.2500 0.6250 0.8750 Ac
0.1250 0.3750 0.2500 Ga
0.0000 0.5000 0.0000 Ga
0.0000 0.0000 0.0000 Ga
0.3750 0.2500 0.1250 Ga
0.5000 0.0000 0.5000 Ga
0.5000 0.5000 0.0000 Ga
0.1250 0.7500 0.3750 Ga
0.7500 0.1250 0.8750 Ga
0.7500 0.6250 0.3750 Ga
0.3750 0.1250 0.7500 Ga
0.6250 0.8750 0.2500 Ga
0.5000 0.5000 0.5000 Ga
0.5000 0.0000 0.0000 Ga
0.0000 0.0000 0.5000 Ga
0.2500 0.3750 0.6250 Ga
0.2500 0.8750 0.1250 Ga
0.0000 0.5000 0.5000 Ga
0.8750 0.2500 0.6250 Ga
0.6250 0.7500 0.8750 Ga
0.8750 0.6250 0.7500 Ga
0.7034 0.1173 0.0254 Se
0.3219 0.5254 0.4081 Se
0.9746 0.3827 0.2966 Se
0.5254 0.2034 0.1173 Se
0.5862 0.7034 0.6781 Se
0.9746 0.5919 0.1781 Se
0.3219 0.7966 0.4138 Se
0.0919 0.9138 0.1173 Se
0.5919 0.9746 0.6781 Se
0.7034 0.5862 0.1781 Se
0.7966 0.4746 0.3827 Se
0.8219 0.9081 0.0254 Se
0.1173 0.7034 0.5254 Se
0.3827 0.4081 0.0862 Se
0.0862 0.9081 0.3827 Se
0.4138 0.1173 0.5919 Se
0.0862 0.1781 0.2034 Se
0.4746 0.6781 0.0919 Se
0.8219 0.9138 0.2966 Se
0.1173 0.4138 0.0919 Se
0.3827 0.9746 0.7966 Se
0.5919 0.6173 0.4138 Se
0.9081 0.8219 0.5254 Se
0.7966 0.3219 0.9138 Se
0.4081 0.3827 0.5862 Se
0.0919 0.1781 0.4746 Se
0.2034 0.6781 0.0862 Se
0.1781 0.0862 0.7034 Se
0.6173 0.0254 0.2034 Se
0.8827 0.5862 0.9081 Se
0.5254 0.3219 0.9081 Se
0.5862 0.8827 0.4081 Se
0.9138 0.8219 0.7966 Se
0.9138 0.0919 0.6173 Se
0.8827 0.2966 0.4746 Se
0.1781 0.0919 0.9746 Se
0.6173 0.5919 0.9138 Se
0.4081 0.0254 0.3219 Se
0.2966 0.4138 0.8219 Se
0.2034 0.5254 0.6173 Se
0.9081 0.0862 0.8827 Se
0.6781 0.2034 0.5862 Se
0.4746 0.7966 0.8827 Se
0.0254 0.4081 0.8219 Se
0.4138 0.2966 0.3219 Se
0.0254 0.6173 0.7034 Se
0.6781 0.4746 0.5919 Se
0.2966 0.8827 0.9746 Se
```

## Properties
As for the space group: Ia-3d, No. 230. Its raw formation energy is -1.09 eV/atom. Its raw total energy is -364.1 eV/cell.

Number 1: density 8.696 g/cm3. Number 2: density 10.290 g/cm3. Number 3: density 6.785 g/cm3. Number 4: density 2.757 g/cm3. Number 5: density 9.383 g/cm3. Number 6: density 5.946 g/cm3.